Computed, not measured: a geometry-optimized K3ZrTl3O8 structure at the PBE level of DFT.

Cell: 6.8457 6.8483 7.4898 Å, 117.21 90.00 119.98°
Sites, in units of the cell vectors:
1 Tl 0.0000 0.5000 0.5000
2 Tl 0.5000 0.0000 0.5000
3 Tl 0.5000 0.5000 0.5000
4 O 0.7857 0.5713 0.3158
5 O 0.7558 0.9703 0.6844
6 O 0.2143 0.4287 0.6842
7 O 0.7285 0.4571 0.6854
8 O 0.2715 0.5429 0.3146
9 O 0.2442 0.0297 0.3156
10 O 0.2145 0.9703 0.6844
11 O 0.7855 0.0297 0.3156
12 K 0.0000 0.5000 0.0000
13 K 0.5000 0.5000 0.0000
14 K 0.0000 0.0000 0.0000
15 Zr 0.0000 0.0000 0.5000

Computed properties:
As for the symmetry: No. 166. Its formation energy without anion corrections is -141 kJ/mol of atoms.